UFeRe after structural relaxation. Source: the Alexandria database, functional PBE-GGA.

## Properties
SG: No. 156

Cell lengths 2.7837, 2.7837, 7.1197 Å; angles 90.00, 90.00, 120.00 degrees
With the nearest neighbours (Å) after each atom.
Positions (direct):
U  0.0000  0.0000  0.0000  6 U 2.78, 3 Fe 2.92
Fe  0.3333  0.6667  0.6580  3 Re 2.54, 6 Fe 2.78
Re  0.6667  0.3333  0.3809  3 Fe 2.54, 6 Re 2.78

---

UFeRe after structural relaxation. Source: the Alexandria database, functional PBE-GGA.

## Properties
SG: No. 107

Cell lengths 2.7613, 2.7613, 12.2752 Å; angles 90.00, 90.00, 90.00 degrees
With the nearest neighbours (Å) after each atom.
Positions (direct):
U  0.0000  0.0000  0.0000  4 U 2.76, 4 Fe 2.88
U  0.5000  0.5000  0.5000  4 U 2.76, 4 Fe 2.88
Fe  0.0000  0.0000  0.6728  4 Re 2.50, 4 Fe 2.76
Fe  0.5000  0.5000  0.1728  4 Re 2.50, 4 Fe 2.76
Re  0.0000  0.0000  0.3001  4 Fe 2.50, 4 Re 2.76
Re  0.5000  0.5000  0.8001  4 Fe 2.50, 4 Re 2.76

---

no.,calculated density (Mg/m³),energy relative to the lowest polymorph listed for this composition (meV per atom),D(E_F) (states/eV/atom)
1,16.68,171,1.21
2,17.03,0,1.53